# 1
DFT (PBE) results for crystalline GdPuTcPt at its relaxed geometry.

Cell lengths 4.883, 4.883, 4.883 Å; angles 60.00, 60.00, 60.00 degrees
Last column: magnetic moment on the atom in μB.
Positions (direct):
1 Gd 0.500 0.500 0.500  7.05
2 Tc 0.250 0.250 0.250  -0.85
3 Pt 0.750 0.750 0.750  -0.11
4 Pu 0.000 0.000 0.000  4.93

Computed properties:
E_form	-0.360	eV/atom
total magnetic moment	2.811	μB per atom

---

# 2
DFT (PBE) results for crystalline GdPuZnPt at its relaxed geometry.

Cell lengths 5.025, 5.025, 5.025 Å; angles 60.00, 60.00, 60.00 degrees
Last column: magnetic moment on the atom in μB.
Positions (direct):
1 Zn 0.750 0.750 0.750  -0.02
2 Gd 0.500 0.500 0.500  6.91
3 Pt 0.250 0.250 0.250  0.05
4 Pu 0.000 0.000 0.000  -5.28

Computed properties:
E_form	-0.552	eV/atom
total magnetic moment	0.370	μB per atom

---

# 3
DFT (PBE) results for crystalline RbGdPt4 at its relaxed geometry.

Cell lengths 5.530, 5.530, 5.530 Å; angles 60.00, 60.00, 60.00 degrees
Last column: magnetic moment on the atom in μB.
Positions (direct):
1 Gd 0.250 0.250 0.250  6.95
2 Rb 0.000 0.000 0.000  0.01
3 Pt 0.625 0.625 0.126  0.01
4 Pt 0.625 0.126 0.625  0.01
5 Pt 0.625 0.625 0.625  0.01
6 Pt 0.126 0.625 0.625  0.01

Computed properties:
E_form	-0.562	eV/atom
total magnetic moment	1.180	μB per atom

---

- Which value of total magnetic moment does entry 2 give?
  0.370 μB per atom